(1)
DFT (PBE) results for crystalline Zn2RuRh at its relaxed geometry.

```
Zn2RuRh
1.0
1.453 -2.287 0.000
1.453 2.287 0.000
0.000 0.000 8.542
Zn Ru Rh
2 1 1
Direct
0.000 0.000 0.248
0.000 0.000 0.752
0.500 0.500 0.500
0.500 0.500 0.000
```

## Properties
crystal system	orthorhombic
energy relative to the elements	-0.039	eV per atom
symmetry	No. 65

(2)
DFT (PBE) results for crystalline Ba4SbBr5 at its relaxed geometry.

```
Ba4SbBr5
1.0
10.099 -2.499 0.000
10.099 2.499 0.000
-2.275 0.000 8.319
Ba Sb Br
4 1 5
Direct
0.063 0.063 0.298
0.346 0.346 0.207
0.654 0.654 0.793
0.937 0.937 0.702
0.500 0.500 0.500
0.169 0.169 0.054
0.196 0.196 0.600
0.500 0.500 0.000
0.804 0.804 0.400
0.831 0.831 0.946
```

## Properties
crystal system	monoclinic
formation energy (no corrections)	-1.90	eV per atom
symmetry	No. 12

(3)
DFT (PBE) results for crystalline GdGe2Sb at its relaxed geometry.

```
GdGe2Sb
1.0
4.549 0.000 0.000
0.000 4.549 0.000
0.000 0.000 4.389
Gd Ge Sb
1 2 1
Direct
0.000 0.000 0.000
0.000 0.500 0.500
0.500 0.000 0.500
0.500 0.500 0.000
```

## Properties
crystal system	tetragonal
formation energy (no corrections)	-0.41	eV per atom
symmetry	No. 123

Number 1: mass density 9.797 g/cm3, DOS at the Fermi energy 0.6571 states/eV per atom. Number 2: mass density 4.234 g/cm3, DOS at the Fermi energy 0.0000 states/eV per atom. Number 3: mass density 7.758 g/cm3, DOS at the Fermi energy 0.6992 states/eV per atom.